No. 1
## PmCu2PtO4 (PBE)

Data for an optimized crystal structure of PmCu2PtO4.

Unit cell a=5.599 b=5.599 c=6.176 alpha=90.00 beta=90.00 gamma=90.00
Space group I-42m (No. 121)
One atom of each set of equivalent atoms:
Pm1 0.000 0.000 0.000
Cu1 0.000 0.500 0.250
Pt1 0.000 0.000 0.500
O1 0.238 0.238 0.263

## Properties
- Final energy: -5.890 eV per atom



No. 2
## Tb3Er3TlIn2 (PBE)

Data for an optimized crystal structure of Tb3Er3TlIn2.

Unit cell a=8.9266 b=8.9266 c=3.7287 alpha=90.00 beta=90.00 gamma=120.00
Space group P-62m (No. 189)
One atom of each set of equivalent atoms:
Tb1 0.0000 0.7103 0.0000
Er1 0.0000 0.3806 0.5000
Tl1 0.0000 0.0000 0.5000
In1 0.3333 0.6667 0.0000

## Properties
- Final energy: -4.221 eV per atom



No. 3
## LaTc2Ni (PBE)

Data for an optimized crystal structure of LaTc2Ni.

Unit cell a=5.288 b=9.440 c=2.770 alpha=90.00 beta=90.00 gamma=90.00
Space group Cmmm (No. 65)
One atom of each set of equivalent atoms:
La1 0.000 0.000 0.000
Tc1 0.250 0.250 0.500
Ni1 0.000 0.500 0.000

## Properties
- Final energy: -7.259 eV per atom



No. 4
## BaCu2Cl6 (PBE)

Data for an optimized crystal structure of BaCu2Cl6.

Unit cell a=6.4454 b=6.4454 c=6.6134 alpha=90.00 beta=90.00 gamma=120.00
Space group P-31m (No. 162)
One atom of each set of equivalent atoms:
Ba1 0.0000 0.0000 0.0000
Cu1 0.3333 0.6667 0.5000
Cl1 0.0000 0.3817 0.7105

## Properties
- Final energy: -3.440 eV per atom